{
  "formula": "SrHfSi2O7",
  "functional": "GGA-PBE",
  "state": "optimized geometry",
  "lattice_angstrom": [[7.7389, 0.0000, 0.0000], [0.0000, 7.9786, 0.0000], [-3.7067, 0.0000, 9.3029]],
  "species": ["Sr", "Sr", "Sr", "Sr", "Hf", "Hf", "Hf", "Hf", "Si", "Si", "Si", "Si", "Si", "Si", "Si", "Si", "O", "O", "O", "O", "O", "O", "O", "O", "O", "O", "O", "O", "O", "O", "O", "O", "O", "O", "O", "O", "O", "O", "O", "O", "O", "O", "O", "O"],
  "frac_coords": [[0.2143, 0.0200, 0.2009], [0.2143, 0.4800, 0.7009], [0.7857, 0.5200, 0.2991], [0.7857, 0.9800, 0.7991], [0.2428, 0.0103, 0.7557], [0.2428, 0.4897, 0.2557], [0.7572, 0.5103, 0.7443], [0.7572, 0.9897, 0.2443], [0.1757, 0.7115, 0.9607], [0.1757, 0.7885, 0.4607], [0.4337, 0.2467, 0.5414], [0.4337, 0.2533, 0.0414], [0.5663, 0.7467, 0.9586], [0.5663, 0.7533, 0.4586], [0.8243, 0.2115, 0.5393], [0.8243, 0.2885, 0.0393], [0.0243, 0.5900, 0.8475], [0.0243, 0.9100, 0.3475], [0.1345, 0.5916, 0.4088], [0.1345, 0.9084, 0.9088], [0.1936, 0.7054, 0.1274], [0.1936, 0.7946, 0.6274], [0.3084, 0.2313, 0.8725], [0.3084, 0.2687, 0.3725], [0.3206, 0.1350, 0.6155], [0.3206, 0.3650, 0.1155], [0.3694, 0.6494, 0.9392], [0.3694, 0.8506, 0.4392], [0.4900, 0.0771, 0.1301], [0.4900, 0.4229, 0.6301], [0.5100, 0.5771, 0.3699], [0.5100, 0.9229, 0.8699], [0.6306, 0.1494, 0.5608], [0.6306, 0.3506, 0.0608], [0.6794, 0.6350, 0.8845], [0.6794, 0.8650, 0.3845], [0.6916, 0.7313, 0.6275], [0.6916, 0.7687, 0.1275], [0.8064, 0.2054, 0.3726], [0.8064, 0.2946, 0.8726], [0.8655, 0.0916, 0.0912], [0.8655, 0.4084, 0.5912], [0.9757, 0.0900, 0.6525], [0.9757, 0.4100, 0.1525]],
  "spacegroup": "P2_1/c",
  "final_energy_ry_per_atom": -0.6114
}

{
  "formula": "Er5CdAg4",
  "functional": "GGA-PBE",
  "state": "optimized geometry",
  "lattice_angstrom": [[3.6188, 0.0000, 0.0000], [0.0000, 3.6188, 0.0000], [0.0000, 0.0000, 18.2011]],
  "species": ["Er", "Er", "Er", "Er", "Er", "Cd", "Ag", "Ag", "Ag", "Ag"],
  "frac_coords": [[0.0000, 0.0000, 0.0000], [0.0000, 0.0000, 0.1978], [0.0000, 0.0000, 0.3944], [0.0000, 0.0000, 0.6056], [0.0000, 0.0000, 0.8022], [0.5000, 0.5000, 0.5000], [0.5000, 0.5000, 0.0988], [0.5000, 0.5000, 0.2977], [0.5000, 0.5000, 0.7023], [0.5000, 0.5000, 0.9012]],
  "spacegroup": "P4/mmm",
  "final_energy_ry_per_atom": -0.2825
}

Copy entry 1 word for word.
{
  "formula": "SrHfSi2O7",
  "functional": "GGA-PBE",
  "state": "optimized geometry",
  "lattice_angstrom": [[7.7389, 0.0000, 0.0000], [0.0000, 7.9786, 0.0000], [-3.7067, 0.0000, 9.3029]],
  "species": ["Sr", "Sr", "Sr", "Sr", "Hf", "Hf", "Hf", "Hf", "Si", "Si", "Si", "Si", "Si", "Si", "Si", "Si", "O", "O", "O", "O", "O", "O", "O", "O", "O", "O", "O", "O", "O", "O", "O", "O", "O", "O", "O", "O", "O", "O", "O", "O", "O", "O", "O", "O"],
  "frac_coords": [[0.2143, 0.0200, 0.2009], [0.2143, 0.4800, 0.7009], [0.7857, 0.5200, 0.2991], [0.7857, 0.9800, 0.7991], [0.2428, 0.0103, 0.7557], [0.2428, 0.4897, 0.2557], [0.7572, 0.5103, 0.7443], [0.7572, 0.9897, 0.2443], [0.1757, 0.7115, 0.9607], [0.1757, 0.7885, 0.4607], [0.4337, 0.2467, 0.5414], [0.4337, 0.2533, 0.0414], [0.5663, 0.7467, 0.9586], [0.5663, 0.7533, 0.4586], [0.8243, 0.2115, 0.5393], [0.8243, 0.2885, 0.0393], [0.0243, 0.5900, 0.8475], [0.0243, 0.9100, 0.3475], [0.1345, 0.5916, 0.4088], [0.1345, 0.9084, 0.9088], [0.1936, 0.7054, 0.1274], [0.1936, 0.7946, 0.6274], [0.3084, 0.2313, 0.8725], [0.3084, 0.2687, 0.3725], [0.3206, 0.1350, 0.6155], [0.3206, 0.3650, 0.1155], [0.3694, 0.6494, 0.9392], [0.3694, 0.8506, 0.4392], [0.4900, 0.0771, 0.1301], [0.4900, 0.4229, 0.6301], [0.5100, 0.5771, 0.3699], [0.5100, 0.9229, 0.8699], [0.6306, 0.1494, 0.5608], [0.6306, 0.3506, 0.0608], [0.6794, 0.6350, 0.8845], [0.6794, 0.8650, 0.3845], [0.6916, 0.7313, 0.6275], [0.6916, 0.7687, 0.1275], [0.8064, 0.2054, 0.3726], [0.8064, 0.2946, 0.8726], [0.8655, 0.0916, 0.0912], [0.8655, 0.4084, 0.5912], [0.9757, 0.0900, 0.6525], [0.9757, 0.4100, 0.1525]],
  "spacegroup": "P2_1/c",
  "final_energy_ry_per_atom": -0.6114
}